A plane-wave DFT calculation with GGA-PBE was carried out for a geometry-optimized TmLuGe2Os structure.

Lattice parameters (Å, degrees): 10.616 4.267 9.958 90.00 117.91 90.00
Space group C2/m (No. 12)
One atom of each set of equivalent atoms:
Tm: 0.004 0.000 0.175 (multiplicity 4)
Lu: 0.183 0.000 0.615 (multiplicity 4)
Ge: 0.015 0.500 0.377 (multiplicity 4)
Ge: 0.141 0.500 0.062 (multiplicity 4)
Os: 0.230 0.500 0.867 (multiplicity 4)

Calculated values
The value obtained for the magnetization is 0.0026 μB per atom. As for the crystal system: monoclinic. The value obtained for the calculated volume is 19.932 Å³ per atom.

=====

A plane-wave DFT calculation with GGA-PBE was carried out for a geometry-optimized TmLuGe2Os structure.

Lattice parameters (Å, degrees): 10.611 4.272 9.972 90.00 117.80 90.00
Space group C2/m (No. 12)
One atom of each set of equivalent atoms:
Tm: 0.184 0.000 0.115 (multiplicity 4)
Lu: 0.004 0.000 0.675 (multiplicity 4)
Ge: 0.015 0.500 0.876 (multiplicity 4)
Ge: 0.140 0.500 0.561 (multiplicity 4)
Os: 0.231 0.500 0.367 (multiplicity 4)

Calculated values
The value obtained for the magnetization is 0.0042 μB per atom. As for the crystal system: monoclinic. The value obtained for the calculated volume is 19.991 Å³ per atom.

=====

A plane-wave DFT calculation with GGA-PBE was carried out for a geometry-optimized YLuGe2Os structure.

Lattice parameters (Å, degrees): 10.621 4.290 10.016 90.00 117.72 90.00
Space group C2/m (No. 12)
One atom of each set of equivalent atoms:
Y: 0.185 0.000 0.113 (multiplicity 4)
Lu: 0.001 0.000 0.672 (multiplicity 4)
Ge: 0.012 0.500 0.873 (multiplicity 4)
Ge: 0.140 0.500 0.562 (multiplicity 4)
Os: 0.232 0.500 0.370 (multiplicity 4)

Calculated values
The value obtained for the magnetization is 0.0016 μB per atom. As for the crystal system: monoclinic. The value obtained for the calculated volume is 20.196 Å³ per atom.

=====

A plane-wave DFT calculation with GGA-PBE was carried out for a geometry-optimized LuGePb2 structure.

Lattice parameters (Å, degrees): 7.563 7.563 7.563 90.00 90.00 90.00
Space group F-43m (No. 216)
One atom of each set of equivalent atoms:
Lu: 0.000 0.000 0.000 (multiplicity 4)
Ge: 0.250 0.250 0.750 (multiplicity 4)
Pb: 0.000 0.000 0.500 (multiplicity 4)
Pb: 0.250 0.250 0.250 (multiplicity 4)

Calculated values
The value obtained for the magnetization is 0.0001 μB per atom. As for the crystal system: cubic. The value obtained for the calculated volume is 27.043 Å³ per atom.

=====

A plane-wave DFT calculation with GGA-PBE was carried out for a geometry-optimized LuGePbS3 structure.

Lattice parameters (Å, degrees): 3.753 14.532 10.825 90.00 90.00 90.00
Space group Cmcm (No. 63)
One atom of each set of equivalent atoms:
Lu: 0.000 0.000 0.000 (multiplicity 4)
Ge: 0.000 0.369 0.250 (multiplicity 4)
Pb: 0.000 0.319 0.750 (multiplicity 4)
S: 0.000 0.008 0.750 (multiplicity 4)
S: 0.000 0.372 0.006 (multiplicity 8)

Calculated values
The value obtained for the magnetization is 0.0021 μB per atom. As for the crystal system: orthorhombic. The value obtained for the calculated volume is 24.596 Å³ per atom.

=====

A plane-wave DFT calculation with GGA-PBE was carried out for a geometry-optimized Lu6GePd2 structure.

Lattice parameters (Å, degrees): 7.6902 7.6902 4.2037 90.00 90.00 120.00
Space group P-62m (No. 189)
One atom of each set of equivalent atoms:
Lu: 0.0000 0.4009 0.0000 (multiplicity 3)
Lu: 0.0000 0.7361 0.5000 (multiplicity 3)
Ge: 0.0000 0.0000 0.0000 (multiplicity 1)
Pd: 0.3333 0.6667 0.5000 (multiplicity 2)

Calculated values
The value obtained for the magnetization is 0.0011 μB per atom. As for the crystal system: hexagonal. The value obtained for the calculated volume is 23.922 Å³ per atom.

=====

A plane-wave DFT calculation with GGA-PBE was carried out for a geometry-optimized LuGePd structure.

Lattice parameters (Å, degrees): 6.336 6.336 6.336 90.00 90.00 90.00
Space group F-43m (No. 216)
One atom of each set of equivalent atoms:
Lu: 0.000 0.000 0.000 (multiplicity 4)
Ge: 0.000 0.000 0.500 (multiplicity 4)
Pd: 0.250 0.250 0.750 (multiplicity 4)

Calculated values
The value obtained for the magnetization is 0.0003 μB per atom. As for the crystal system: cubic. The value obtained for the calculated volume is 21.194 Å³ per atom.

=====

A plane-wave DFT calculation with GGA-PBE was carried out for a geometry-optimized LuGePd2 structure.

Lattice parameters (Å, degrees): 7.239 7.162 5.554 90.00 90.00 90.00
Space group Pnma (No. 62)
One atom of each set of equivalent atoms:
Lu: 0.024 0.250 0.143 (multiplicity 4)
Ge: 0.120 0.750 0.360 (multiplicity 4)
Pd: 0.184 0.051 0.587 (multiplicity 8)

Calculated values
The value obtained for the magnetization is 0.0001 μB per atom. As for the crystal system: orthorhombic. The value obtained for the calculated volume is 17.996 Å³ per atom.

=====

A plane-wave DFT calculation with GGA-PBE was carried out for a geometry-optimized Lu2GePd structure.

Lattice parameters (Å, degrees): 6.933 6.933 6.933 90.00 90.00 90.00
Space group F-43m (No. 216)
One atom of each set of equivalent atoms:
Lu: 0.000 0.000 0.000 (multiplicity 4)
Lu: 0.250 0.250 0.250 (multiplicity 4)
Ge: 0.000 0.000 0.500 (multiplicity 4)
Pd: 0.250 0.250 0.750 (multiplicity 4)

Calculated values
The value obtained for the magnetization is 0.0193 μB per atom. As for the crystal system: cubic. The value obtained for the calculated volume is 20.828 Å³ per atom.

=====

A plane-wave DFT calculation with GGA-PBE was carried out for a geometry-optimized LuGePd2 structure.

Lattice parameters (Å, degrees): 6.578 6.578 6.578 90.00 90.00 90.00
Space group F-43m (No. 216)
One atom of each set of equivalent atoms:
Lu: 0.000 0.000 0.000 (multiplicity 4)
Ge: 0.250 0.250 0.750 (multiplicity 4)
Pd: 0.000 0.000 0.500 (multiplicity 4)
Pd: 0.250 0.250 0.250 (multiplicity 4)

Calculated values
The value obtained for the magnetization is 0.0000 μB per atom. As for the crystal system: cubic. The value obtained for the calculated volume is 17.788 Å³ per atom.

=====

A plane-wave DFT calculation with GGA-PBE was carried out for a geometry-optimized Sm2LuGe4Pd4 structure.

Lattice parameters (Å, degrees): 4.244 7.058 14.149 90.00 90.00 90.00
Space group Immm (No. 71)
One atom of each set of equivalent atoms:
Sm: 0.000 0.000 0.126 (multiplicity 4)
Lu: 0.000 0.500 0.000 (multiplicity 2)
Ge: 0.000 0.305 0.500 (multiplicity 4)
Ge: 0.000 0.500 0.215 (multiplicity 4)
Pd: 0.000 0.200 0.325 (multiplicity 8)

Calculated values
The value obtained for the magnetization is 0.0006 μB per atom. As for the crystal system: orthorhombic. The value obtained for the calculated volume is 19.266 Å³ per atom.

=====

A plane-wave DFT calculation with GGA-PBE was carried out for a geometry-optimized SmLu2Ge4Pd4 structure.

Lattice parameters (Å, degrees): 4.127 7.158 13.920 90.00 90.00 90.00
Space group Immm (No. 71)
One atom of each set of equivalent atoms:
Sm: 0.000 0.000 0.000 (multiplicity 2)
Lu: 0.000 0.500 0.126 (multiplicity 4)
Ge: 0.000 0.000 0.220 (multiplicity 4)
Ge: 0.000 0.184 0.500 (multiplicity 4)
Pd: 0.000 0.297 0.324 (multiplicity 8)

Calculated values
The value obtained for the magnetization is 0.0004 μB per atom. As for the crystal system: orthorhombic. The value obtained for the calculated volume is 18.688 Å³ per atom.

=====

The records above yield raw total energy values of -0.2418; -0.2421; -0.2572; -0.1528; -0.1878; -0.1939; -0.2045; -0.2126; -0.1840; -0.2030; -0.2089; -0.2107 Ha/atom, respectively.